[1]
Below is an optimized crystal structure of KNp3O10, with properties calculated at the PBE level.

extended XYZ file:
```
28
Lattice="6.853 0.000 3.957 2.284 6.461 3.957 0.000 0.000 7.913" Properties=species:S:1:pos:R:3 pbc="T T T"
O 0.731 2.067 6.648
O 4.661 0.000 2.691
O 5.598 3.959 6.130
O 5.392 2.067 3.957
O 0.000 0.000 5.382
Np 2.387 1.688 7.913
O 4.569 1.047 7.913
Np 5.660 1.688 9.803
Np 3.478 4.773 6.024
O 2.510 3.959 7.913
O 2.192 0.000 6.648
O 0.731 2.067 1.266
K 6.853 4.846 11.870
O 3.746 4.394 3.957
O 4.569 5.415 7.913
O 0.000 0.000 2.532
O 1.554 4.394 2.691
O 3.539 2.503 9.697
Np 3.478 4.773 9.803
Np 6.751 4.773 7.913
Np 5.660 1.688 6.024
K 2.284 1.615 3.957
O 5.598 3.959 9.697
O 4.661 0.000 5.222
O 6.628 2.503 7.913
O 2.192 0.000 1.266
O 3.539 2.503 6.130
O 1.554 4.394 5.222
```

## Properties
The symmetry is Fm-3m (225). The value obtained for the total moment is 2.01 μB/f.u. The electronic total energy comes out at -8.78 eV per atom.


[2]
Below is an optimized crystal structure of K4NpO6, with properties calculated at the PBE level.

extended XYZ file:
```
22
Lattice="-7.096 -1.985 1.459 -1.035 -2.233 -7.097 2.509 -6.799 1.974" Properties=species:S:1:pos:R:3 pbc="T T T"
K -3.314 -8.300 -4.022
O -3.882 -3.813 -1.844
O -1.740 -7.204 -1.820
O -0.433 -8.938 -4.510
O -0.714 -3.897 -6.026
O -0.620 -1.068 -1.580
O -4.535 -6.532 -1.852
K -2.308 -2.718 0.358
K -2.143 -2.526 -3.702
O -2.759 -5.527 0.172
Np -2.811 -5.509 -1.832
K -5.471 -4.863 -3.735
K -5.636 -5.055 0.325
O -1.087 -4.485 -1.812
K -0.151 -6.154 0.071
K -3.480 -8.491 0.038
Np 0.000 0.000 0.000
O -5.189 -2.080 0.846
K 0.014 -5.962 -3.989
O -5.002 -9.949 -2.085
O -4.908 -7.120 2.362
O -2.863 -5.490 -3.836
```

## Properties
The symmetry is R-3c (167). The value obtained for the total moment is 1.13 μB/f.u. The electronic total energy comes out at -6.26 eV per atom.


[3]
Below is an optimized crystal structure of KNpO3, with properties calculated at the PBE level.

extended XYZ file:
```
5
Lattice="4.296 0.000 0.000 0.000 4.296 0.000 0.000 0.000 4.296" Properties=species:S:1:pos:R:3 pbc="T T T"
K 0.000 0.000 0.000
O 2.148 2.148 0.000
O 2.148 0.000 2.148
O 0.000 2.148 2.148
Np 2.148 2.148 2.148
```

## Properties
The symmetry is Pm-3m (221). The value obtained for the total moment is 2.00 μB/f.u. The electronic total energy comes out at -8.48 eV per atom.


[4]
Below is an optimized crystal structure of K3Np2O7, with properties calculated at the PBE level.

extended XYZ file:
```
12
Lattice="4.284 0.000 0.000 0.000 4.323 0.000 0.000 -2.161 11.355" Properties=species:S:1:pos:R:3 pbc="T T T"
O 0.000 2.161 2.113
K 2.142 0.000 7.198
Np 0.000 0.000 2.137
O 0.000 2.161 7.270
K 2.142 2.161 4.157
Np 0.000 2.161 9.218
O 0.000 0.000 0.000
O 2.142 2.161 9.239
O 0.000 0.000 9.242
O 0.000 0.000 4.085
K 2.142 2.161 0.000
O 2.142 0.000 2.116
```

## Properties
The symmetry is Cmmm (65). The value obtained for the total moment is 3.00 μB/f.u. The electronic total energy comes out at -7.85 eV per atom.